An optimized crystal structure of Pr4Sm5Tm3. Source: the Alexandria database, functional PBE.

For the formation energy, the calculation gives 0.214 eV per atom. The electronic total energy is -4.464 eV/atom. The value obtained for the magnetic moment is 0.0 μB/f.u. As for the crystal system: monoclinic. Its density of states at the Fermi level is 1.669 states/eV/atom.

Unit cell a=8.7147 b=8.7147 c=9.4672 alpha=115.06 beta=115.06 gamma=40.13
Sites, in units of the cell vectors:
Pr 0.0837 0.0837 0.4441
Pr 0.2184 0.2184 0.8792
Pr 0.7816 0.7816 0.1208
Pr 0.9163 0.9163 0.5559
Sm 0.0000 0.0000 0.0000
Sm 0.3286 0.3286 0.6134
Sm 0.4275 0.4275 0.2960
Sm 0.5725 0.5725 0.7040
Sm 0.6714 0.6714 0.3866
Tm 0.2104 0.2104 0.2308
Tm 0.5000 0.5000 0.0000
Tm 0.7896 0.7896 0.7692

An optimized crystal structure of Pr7Sm3Tm2. Source: the Alexandria database, functional PBE.

For the formation energy, the calculation gives 0.094 eV per atom. The electronic total energy is -4.619 eV/atom. The value obtained for the magnetic moment is 0.0 μB/f.u. As for the crystal system: monoclinic. Its density of states at the Fermi level is 1.423 states/eV/atom.

Unit cell a=5.9719 b=3.6341 c=19.3224 alpha=90.00 beta=93.53 gamma=90.00
Sites, in units of the cell vectors:
Pr 0.0000 0.0000 0.0000
Pr 0.1814 0.5000 0.1844
Pr 0.2571 0.5000 0.5349
Pr 0.3212 0.0000 0.8535
Pr 0.6788 0.0000 0.1465
Pr 0.7429 0.5000 0.4651
Pr 0.8186 0.5000 0.8156
Sm 0.2192 0.0000 0.3662
Sm 0.5000 0.5000 0.0000
Sm 0.7808 0.0000 0.6338
Tm 0.2905 0.5000 0.7029
Tm 0.7095 0.5000 0.2971

An optimized crystal structure of Pr7Sm3Tm2. Source: the Alexandria database, functional PBE.

For the formation energy, the calculation gives 0.264 eV per atom. The electronic total energy is -4.449 eV/atom. The value obtained for the magnetic moment is 0.0 μB/f.u. As for the crystal system: monoclinic. Its density of states at the Fermi level is 1.432 states/eV/atom.

Unit cell a=6.3618 b=5.6606 c=12.2988 alpha=90.00 beta=91.34 gamma=90.00
Sites, in units of the cell vectors:
Pr 0.0000 0.0000 0.0000
Pr 0.0942 0.5000 0.1706
Pr 0.2469 0.5000 0.4511
Pr 0.4414 0.0000 0.1896
Pr 0.5586 0.0000 0.8104
Pr 0.7531 0.5000 0.5489
Pr 0.9058 0.5000 0.8294
Sm 0.0710 0.0000 0.6589
Sm 0.5000 0.5000 0.0000
Sm 0.9290 0.0000 0.3411
Tm 0.3703 0.5000 0.7231
Tm 0.6297 0.5000 0.2769

An optimized crystal structure of PrSm3Tm12. Source: the Alexandria database, functional PBE.

For the formation energy, the calculation gives 0.027 eV per atom. The electronic total energy is -4.510 eV/atom. The value obtained for the magnetic moment is 0.0 μB/f.u. As for the crystal system: tetragonal. Its density of states at the Fermi level is 1.433 states/eV/atom.

Unit cell a=4.9878 b=4.9878 c=19.9736 alpha=90.00 beta=90.00 gamma=90.00
Sites, in units of the cell vectors:
Pr 0.0000 0.0000 0.0000
Sm 0.0000 0.0000 0.2506
Sm 0.0000 0.0000 0.5000
Sm 0.0000 0.0000 0.7494
Tm 0.0000 0.5000 0.1261
Tm 0.0000 0.5000 0.3753
Tm 0.0000 0.5000 0.6247
Tm 0.0000 0.5000 0.8739
Tm 0.5000 0.0000 0.1261
Tm 0.5000 0.0000 0.3753
Tm 0.5000 0.0000 0.6247
Tm 0.5000 0.0000 0.8739
Tm 0.5000 0.5000 0.0000
Tm 0.5000 0.5000 0.2508
Tm 0.5000 0.5000 0.5000
Tm 0.5000 0.5000 0.7492

An optimized crystal structure of Pr4Sm2Tm5. Source: the Alexandria database, functional PBE.

For the formation energy, the calculation gives 0.101 eV per atom. The electronic total energy is -4.528 eV/atom. The value obtained for the magnetic moment is 0.0 μB/f.u. As for the crystal system: monoclinic. Its density of states at the Fermi level is 1.736 states/eV/atom.

Unit cell a=10.1791 b=10.1791 c=6.4012 alpha=94.22 beta=94.22 gamma=33.38
Sites, in units of the cell vectors:
Pr 0.0356 0.0356 0.2640
Pr 0.3076 0.3076 0.9266
Pr 0.6924 0.6924 0.0734
Pr 0.9644 0.9644 0.7360
Sm 0.4015 0.4015 0.4526
Sm 0.5985 0.5985 0.5474
Tm 0.1319 0.1319 0.8482
Tm 0.2153 0.2153 0.3928
Tm 0.5000 0.5000 0.0000
Tm 0.7847 0.7847 0.6072
Tm 0.8681 0.8681 0.1518

An optimized crystal structure of PrSm15Tm4. Source: the Alexandria database, functional PBE.

For the formation energy, the calculation gives 0.017 eV per atom. The electronic total energy is -4.656 eV/atom. The value obtained for the magnetic moment is 0.0 μB/f.u. As for the crystal system: tetragonal. Its density of states at the Fermi level is 1.378 states/eV/atom.

Unit cell a=5.0999 b=5.0999 c=25.4383 alpha=90.00 beta=90.00 gamma=90.00
Sites, in units of the cell vectors:
Pr 0.0000 0.0000 0.0000
Sm 0.0000 0.5000 0.1025
Sm 0.0000 0.5000 0.3013
Sm 0.0000 0.5000 0.5000
Sm 0.0000 0.5000 0.6987
Sm 0.0000 0.5000 0.8975
Sm 0.5000 0.0000 0.1025
Sm 0.5000 0.0000 0.3013
Sm 0.5000 0.0000 0.5000
Sm 0.5000 0.0000 0.6987
Sm 0.5000 0.0000 0.8975
Sm 0.5000 0.5000 0.0000
Sm 0.5000 0.5000 0.2026
Sm 0.5000 0.5000 0.4006
Sm 0.5000 0.5000 0.5994
Sm 0.5000 0.5000 0.7974
Tm 0.0000 0.0000 0.2020
Tm 0.0000 0.0000 0.4007
Tm 0.0000 0.0000 0.5993
Tm 0.0000 0.0000 0.7980

An optimized crystal structure of Pr4SmTm3. Source: the Alexandria database, functional PBE.

For the formation energy, the calculation gives 0.021 eV per atom. The electronic total energy is -4.636 eV/atom. The value obtained for the magnetic moment is 0.0 μB/f.u. As for the crystal system: orthorhombic. Its density of states at the Fermi level is 1.433 states/eV/atom.

Unit cell a=10.2691 b=7.2209 c=7.2199 alpha=90.00 beta=90.00 gamma=90.00
Sites, in units of the cell vectors:
Pr 0.0000 0.0000 0.0000
Pr 0.0000 0.5000 0.5000
Pr 0.2500 0.2488 0.2500
Pr 0.2500 0.7512 0.7500
Pr 0.5000 0.0000 0.5000
Pr 0.5000 0.5000 0.0000
Pr 0.7500 0.2488 0.2500
Pr 0.7500 0.7512 0.7500
Sm 0.0000 0.5000 0.0000
Sm 0.5000 0.5000 0.5000
Tm 0.0000 0.0000 0.5000
Tm 0.2500 0.2476 0.7500
Tm 0.2500 0.7524 0.2500
Tm 0.5000 0.0000 0.0000
Tm 0.7500 0.2476 0.7500
Tm 0.7500 0.7524 0.2500

An optimized crystal structure of Pr7Sm2Tm4. Source: the Alexandria database, functional PBE.

For the formation energy, the calculation gives 0.182 eV per atom. The electronic total energy is -4.494 eV/atom. The value obtained for the magnetic moment is 0.0 μB/f.u. As for the crystal system: trigonal. Its density of states at the Fermi level is 1.277 states/eV/atom.

Unit cell a=6.2431 b=6.2431 c=13.1827 alpha=90.00 beta=90.00 gamma=120.00
Sites, in units of the cell vectors:
Pr 0.0000 0.0000 0.0000
Pr 0.0000 0.3747 0.2275
Pr 0.0000 0.6253 0.7725
Pr 0.3747 0.0000 0.2275
Pr 0.3747 0.3747 0.7725
Pr 0.6253 0.0000 0.7725
Pr 0.6253 0.6253 0.2275
Sm 0.3333 0.6667 0.0000
Sm 0.6667 0.3333 0.0000
Tm 0.0000 0.0000 0.3925
Tm 0.0000 0.0000 0.6075
Tm 0.3333 0.6667 0.5000
Tm 0.6667 0.3333 0.5000

An optimized crystal structure of Pr5Sm4Tm. Source: the Alexandria database, functional PBE.

For the formation energy, the calculation gives 0.017 eV per atom. The electronic total energy is -4.707 eV/atom. The value obtained for the magnetic moment is 0.0 μB/f.u. As for the crystal system: triclinic. Its density of states at the Fermi level is 1.499 states/eV/atom.

Unit cell a=3.6560 b=9.6666 c=10.3580 alpha=74.49 beta=89.94 gamma=79.16
Sites, in units of the cell vectors:
Pr 0.0000 0.0000 0.0000
Pr 0.2003 0.6000 0.0998
Pr 0.4015 0.1978 0.6953
Pr 0.5985 0.8022 0.3047
Pr 0.7997 0.4000 0.9002
Sm 0.1992 0.6011 0.6001
Sm 0.4007 0.1988 0.2055
Sm 0.5993 0.8012 0.7945
Sm 0.8008 0.3989 0.3999
Tm 0.0000 0.0000 0.5000

An optimized crystal structure of Pr3Sm2Tm7. Source: the Alexandria database, functional PBE.

For the formation energy, the calculation gives 0.095 eV per atom. The electronic total energy is -4.495 eV/atom. The value obtained for the magnetic moment is 0.0 μB/f.u. As for the crystal system: monoclinic. Its density of states at the Fermi level is 1.456 states/eV/atom.

Unit cell a=6.3398 b=3.5309 c=17.5206 alpha=90.00 beta=96.34 gamma=90.00
Sites, in units of the cell vectors:
Pr 0.0000 0.0000 0.0000
Pr 0.0454 0.5000 0.6591
Pr 0.9546 0.5000 0.3409
Sm 0.4453 0.0000 0.3252
Sm 0.5547 0.0000 0.6748
Tm 0.2286 0.5000 0.1637
Tm 0.2467 0.0000 0.4994
Tm 0.2767 0.0000 0.8358
Tm 0.5000 0.5000 0.0000
Tm 0.7233 0.0000 0.1642
Tm 0.7533 0.0000 0.5006
Tm 0.7714 0.5000 0.8363

An optimized crystal structure of Pr16Sm6Tm7. Source: the Alexandria database, functional PBE.

For the formation energy, the calculation gives 0.198 eV per atom. The electronic total energy is -4.495 eV/atom. The value obtained for the magnetic moment is 3.4 μB/f.u. As for the crystal system: cubic. Its density of states at the Fermi level is 1.860 states/eV/atom.

Unit cell a=11.3233 b=11.3233 c=11.3233 alpha=60.00 beta=60.00 gamma=60.00
Sites, in units of the cell vectors:
Pr 0.0406 0.6531 0.6531
Pr 0.1213 0.1213 0.1213
Pr 0.1213 0.1213 0.6361
Pr 0.1213 0.6361 0.1213
Pr 0.3469 0.3469 0.3469
Pr 0.3469 0.3469 0.9594
Pr 0.3469 0.9594 0.3469
Pr 0.3639 0.8787 0.8787
Pr 0.6361 0.1213 0.1213
Pr 0.6531 0.0406 0.6531
Pr 0.6531 0.6531 0.0406
Pr 0.6531 0.6531 0.6531
Pr 0.8787 0.3639 0.8787
Pr 0.8787 0.8787 0.3639
Pr 0.8787 0.8787 0.8787
Pr 0.9594 0.3469 0.3469
Sm 0.2927 0.2927 0.7073
Sm 0.2927 0.7073 0.2927
Sm 0.2927 0.7073 0.7073
Sm 0.7073 0.2927 0.2927
Sm 0.7073 0.2927 0.7073
Sm 0.7073 0.7073 0.2927
Tm 0.0000 0.0000 0.0000
Tm 0.0000 0.0000 0.5000
Tm 0.0000 0.5000 0.0000
Tm 0.0000 0.5000 0.5000
Tm 0.5000 0.0000 0.0000
Tm 0.5000 0.0000 0.5000
Tm 0.5000 0.5000 0.0000

An optimized crystal structure of Pr6Sm12Tm. Source: the Alexandria database, functional PBE.

For the formation energy, the calculation gives 0.306 eV per atom. The electronic total energy is -4.420 eV/atom. The value obtained for the magnetic moment is 0.0 μB/f.u. As for the crystal system: trigonal. Its density of states at the Fermi level is 1.687 states/eV/atom.

Unit cell a=10.0140 b=10.0140 c=10.0140 alpha=112.45 beta=112.45 gamma=112.45
Sites, in units of the cell vectors:
Pr 0.0255 0.7676 0.7676
Pr 0.2324 0.2324 0.9745
Pr 0.2324 0.9745 0.2324
Pr 0.7676 0.0255 0.7676
Pr 0.7676 0.7676 0.0255
Pr 0.9745 0.2324 0.2324
Sm 0.0000 0.3787 0.6213
Sm 0.0000 0.6213 0.3787
Sm 0.2389 0.2389 0.5967
Sm 0.2389 0.5967 0.2389
Sm 0.3787 0.0000 0.6213
Sm 0.3787 0.6213 0.0000
Sm 0.4033 0.7611 0.7611
Sm 0.5967 0.2389 0.2389
Sm 0.6213 0.0000 0.3787
Sm 0.6213 0.3787 0.0000
Sm 0.7611 0.4033 0.7611
Sm 0.7611 0.7611 0.4033
Tm 0.5000 0.5000 0.5000

An optimized crystal structure of Pr2Sm3Tm4. Source: the Alexandria database, functional PBE.

For the formation energy, the calculation gives 0.025 eV per atom. The electronic total energy is -4.598 eV/atom. The value obtained for the magnetic moment is 0.0 μB/f.u. As for the crystal system: monoclinic. Its density of states at the Fermi level is 1.398 states/eV/atom.

Unit cell a=8.0149 b=8.0149 c=8.0266 alpha=107.45 beta=107.45 gamma=36.90
Sites, in units of the cell vectors:
Pr 0.0566 0.0566 0.3300
Pr 0.9434 0.9434 0.6700
Sm 0.3867 0.3867 0.3337
Sm 0.5000 0.5000 0.0000
Sm 0.6133 0.6133 0.6663
Tm 0.1685 0.1685 0.9983
Tm 0.2775 0.2775 0.6697
Tm 0.7225 0.7225 0.3303
Tm 0.8315 0.8315 0.0017

An optimized crystal structure of Pr3Sm7Tm2. Source: the Alexandria database, functional PBE.

For the formation energy, the calculation gives 0.275 eV per atom. The electronic total energy is -4.418 eV/atom. The value obtained for the magnetic moment is 0.0 μB/f.u. As for the crystal system: trigonal. Its density of states at the Fermi level is 1.676 states/eV/atom.

Unit cell a=12.0334 b=12.0334 c=12.0334 alpha=31.80 beta=31.80 gamma=31.80
Sites, in units of the cell vectors:
Pr 0.0000 0.0000 0.0000
Pr 0.1547 0.1547 0.1547
Pr 0.8453 0.8453 0.8453
Sm 0.0809 0.5842 0.5842
Sm 0.4158 0.4158 0.9191
Sm 0.4158 0.9191 0.4158
Sm 0.5000 0.5000 0.5000
Sm 0.5842 0.0809 0.5842
Sm 0.5842 0.5842 0.0809
Sm 0.9191 0.4158 0.4158
Tm 0.3335 0.3335 0.3335
Tm 0.6665 0.6665 0.6665

An optimized crystal structure of Pr6SmTm2. Source: the Alexandria database, functional PBE.

For the formation energy, the calculation gives 0.590 eV per atom. The electronic total energy is -4.114 eV/atom. The value obtained for the magnetic moment is 0.0 μB/f.u. As for the crystal system: tetragonal. Its density of states at the Fermi level is 1.743 states/eV/atom.

Unit cell a=8.3300 b=8.3300 c=10.5479 alpha=90.00 beta=90.00 gamma=90.00
Sites, in units of the cell vectors:
Pr 0.2387 0.2387 0.0000
Pr 0.2393 0.2393 0.3336
Pr 0.2393 0.2393 0.6664
Pr 0.2607 0.7393 0.1664
Pr 0.2613 0.7387 0.5000
Pr 0.2607 0.7393 0.8336
Pr 0.7393 0.2607 0.1664
Pr 0.7387 0.2613 0.5000
Pr 0.7393 0.2607 0.8336
Pr 0.7613 0.7613 0.0000
Pr 0.7607 0.7607 0.3336
Pr 0.7607 0.7607 0.6664
Sm 0.0000 0.0000 0.5000
Sm 0.5000 0.5000 0.0000
Tm 0.0000 0.0000 0.1641
Tm 0.0000 0.0000 0.8359
Tm 0.5000 0.5000 0.3359
Tm 0.5000 0.5000 0.6641

An optimized crystal structure of PrSm2Tm. Source: the Alexandria database, functional PBE.

For the formation energy, the calculation gives 0.018 eV per atom. The electronic total energy is -4.654 eV/atom. The value obtained for the magnetic moment is 0.0 μB/f.u. As for the crystal system: tetragonal. Its density of states at the Fermi level is 1.534 states/eV/atom.

Unit cell a=5.0978 b=5.0978 c=5.1319 alpha=90.00 beta=90.00 gamma=90.00
Sites, in units of the cell vectors:
Pr 0.0000 0.0000 0.0000
Sm 0.0000 0.5000 0.5000
Sm 0.5000 0.0000 0.5000
Tm 0.5000 0.5000 0.0000

An optimized crystal structure of PrSmTm4. Source: the Alexandria database, functional PBE.

For the formation energy, the calculation gives 0.145 eV per atom. The electronic total energy is -4.419 eV/atom. The value obtained for the magnetic moment is 0.0 μB/f.u. As for the crystal system: monoclinic. Its density of states at the Fermi level is 1.712 states/eV/atom.

Unit cell a=8.5355 b=8.5355 c=6.4235 alpha=99.72 beta=99.72 gamma=117.87
Sites, in units of the cell vectors:
Pr 0.0842 0.9158 0.7500
Pr 0.9158 0.0842 0.2500
Sm 0.4969 0.5031 0.2500
Sm 0.5031 0.4969 0.7500
Tm 0.0698 0.3401 0.8807
Tm 0.2119 0.6016 0.4692
Tm 0.3401 0.0698 0.3807
Tm 0.3984 0.7881 0.0308
Tm 0.6016 0.2119 0.9692
Tm 0.6599 0.9302 0.6193
Tm 0.7881 0.3984 0.5308
Tm 0.9302 0.6599 0.1193

An optimized crystal structure of PrSm2Tm. Source: the Alexandria database, functional PBE.

For the formation energy, the calculation gives 0.147 eV per atom. The electronic total energy is -4.525 eV/atom. The value obtained for the magnetic moment is 0.0 μB/f.u. As for the crystal system: cubic. Its density of states at the Fermi level is 2.666 states/eV/atom.

Unit cell a=5.7589 b=5.7589 c=5.7589 alpha=60.00 beta=60.00 gamma=60.00
Sites, in units of the cell vectors:
Pr 0.0000 0.0000 0.0000
Sm 0.2500 0.2500 0.2500
Sm 0.7500 0.7500 0.7500
Tm 0.5000 0.5000 0.5000

An optimized crystal structure of Pr4Sm8Tm3. Source: the Alexandria database, functional PBE.

For the formation energy, the calculation gives 0.344 eV per atom. The electronic total energy is -4.342 eV/atom. The value obtained for the magnetic moment is 0.0 μB/f.u. As for the crystal system: monoclinic. Its density of states at the Fermi level is 1.918 states/eV/atom.

Unit cell a=9.3894 b=9.3894 c=6.8526 alpha=111.27 beta=111.27 gamma=87.00
Sites, in units of the cell vectors:
Pr 0.0000 0.0000 0.0000
Pr 0.0000 0.0000 0.5000
Pr 0.0000 0.5000 0.0000
Pr 0.5000 0.0000 0.0000
Sm 0.2557 0.7443 0.0000
Sm 0.2644 0.2644 0.5179
Sm 0.2737 0.2737 0.0498
Sm 0.3584 0.6416 0.5000
Sm 0.6416 0.3584 0.5000
Sm 0.7263 0.7263 0.9502
Sm 0.7356 0.7356 0.4821
Sm 0.7443 0.2557 0.0000
Tm 0.0000 0.5000 0.5000
Tm 0.5000 0.0000 0.5000
Tm 0.5000 0.5000 0.0000